1.
Computed, not measured: a geometry-optimized LiPr2Ni structure at the PBE level of DFT.

Output
calculated formation energy = 0.01 eV per formula unit

a = 4.0554 Å, b = 4.0554 Å, c = 25.1575 Å
α = 90.00°, β = 90.00°, γ = 120.00°
Space group R3m (No. 160, hexagonal axes)
Inequivalent atoms, fractional coordinates:
Li: 0.0000 0.0000 0.0000 x3
Pr: 0.0000 0.0000 0.5599 x3
Pr: 0.0000 0.0000 0.7710 x3
Ni: 0.0000 0.0000 0.1649 x3

---

2.
Computed, not measured: a geometry-optimized LiPrNi5 structure at the PBE level of DFT.

Output
calculated formation energy = -1.10 eV per formula unit

a = 7.990 Å, b = 4.920 Å, c = 10.162 Å
α = 90.00°, β = 90.00°, γ = 90.00°
Space group Pnma (No. 62)
Inequivalent atoms, fractional coordinates:
Li: 0.136 0.250 0.146 x4
Pr: 0.240 0.750 0.941 x4
Ni: 0.063 0.250 0.890 x4
Ni: 0.071 0.501 0.685 x8
Ni: 0.095 0.750 0.482 x4
Ni: 0.181 0.750 0.251 x4

---

3.
Computed, not measured: a geometry-optimized LiPr6Ni2 structure at the PBE level of DFT.

Output
calculated formation energy = -1.04 eV per formula unit

a = 9.631 Å, b = 10.157 Å, c = 10.475 Å
α = 90.00°, β = 90.00°, γ = 90.00°
Space group Immm (No. 71)
Inequivalent atoms, fractional coordinates:
Li: 0.000 0.000 0.000 x2
Li: 0.000 0.000 0.500 x2
Pr: 0.000 0.199 0.227 x8
Pr: 0.190 0.500 0.178 x8
Pr: 0.207 0.321 0.500 x8
Ni: 0.000 0.348 0.000 x4
Ni: 0.000 0.500 0.378 x4

---

4.
Computed, not measured: a geometry-optimized Li2PrNi structure at the PBE level of DFT.

Output
E above lowest polymorph = 0.000 eV/atom
calculated formation energy = -0.11 eV per formula unit

a = 3.928 Å, b = 8.314 Å, c = 5.326 Å
α = 90.00°, β = 111.49°, γ = 90.00°
Space group P2_1/m (No. 11)
Inequivalent atoms, fractional coordinates:
Li: 0.167 0.055 0.333 x4
Pr: 0.445 0.250 0.894 x2
Ni: 0.259 0.750 0.518 x2

---

5.
Computed, not measured: a geometry-optimized Li2PrNi structure at the PBE level of DFT.

Output
E above lowest polymorph = 0.433 eV/atom
calculated formation energy = 1.62 eV per formula unit

a = 3.0285 Å, b = 3.0285 Å, c = 30.7340 Å
α = 90.00°, β = 90.00°, γ = 120.00°
Space group R-3m (No. 166, hexagonal axes)
Inequivalent atoms, fractional coordinates:
Li: 0.0000 0.0000 0.1051 x6
Pr: 0.0000 0.0000 0.0000 x3
Ni: 0.0000 0.0000 0.5000 x3

---

6.
Computed, not measured: a geometry-optimized LiPr2Ni2 structure at the PBE level of DFT.

Output
calculated formation energy = -1.01 eV per formula unit

a = 3.991 Å, b = 14.838 Å, c = 3.881 Å
α = 90.00°, β = 90.00°, γ = 90.00°
Space group Cmmm (No. 65)
Inequivalent atoms, fractional coordinates:
Li: 0.000 0.000 0.000 x2
Pr: 0.000 0.359 0.500 x4
Ni: 0.000 0.203 0.000 x4

---

7.
Computed, not measured: a geometry-optimized LiPrNi4 structure at the PBE level of DFT.

Output
calculated formation energy = -1.51 eV per formula unit

a = 7.035 Å, b = 7.035 Å, c = 7.035 Å
α = 90.00°, β = 90.00°, γ = 90.00°
Space group F-43m (No. 216)
Inequivalent atoms, fractional coordinates:
Li: 0.000 0.000 0.000 x4
Pr: 0.250 0.250 0.750 x4
Ni: 0.126 0.126 0.374 x16

---

8.
Computed, not measured: a geometry-optimized LiPr2Ni structure at the PBE level of DFT.

Output
calculated formation energy = -0.24 eV per formula unit

a = 3.566 Å, b = 3.566 Å, c = 8.052 Å
α = 90.00°, β = 90.00°, γ = 90.00°
Space group P4/mmm (No. 123)
Inequivalent atoms, fractional coordinates:
Li: 0.000 0.000 0.000 x1
Pr: 0.500 0.500 0.293 x2
Ni: 0.000 0.000 0.500 x1